First-principles (PBE-GGA) data for crystalline Pm6NiAu3 at its relaxed geometry, as listed in the Alexandria database.

Lattice parameters (Å, degrees): 7.2796 7.6558 12.1054 90.00 120.50 90.00
With the nearest neighbours (Å) after each atom.
Space group P2_1/c (No. 14)
Unique sites:
Pm (0.0845, 0.0445, 0.2480) [4 per cell]  1 Ni 2.76, 2 Au 3.03-3.06
Pm (0.2250, 0.6855, 0.0793) [4 per cell]  1 Ni 2.79, 2 Au 2.98-3.08
Pm (0.3720, 0.1694, 0.0657) [4 per cell]  1 Ni 2.73, 2 Au 2.94-3.03
Ni (0.0000, 0.0000, 0.0000) [2 per cell]  6 Pm 2.73-2.79
Au (0.3206, 0.1151, 0.7698) [4 per cell]  6 Pm 3.03-3.24
Au (0.5000, 0.0000, 0.5000) [2 per cell]  6 Pm 2.94-3.03

Calculated values
Total magnetization in Bohr magnetons per cell: 0.00
E_form in eV/atom: -0.468